Entry from the Alexandria database: a relaxed structure of CsCrTcO2 (PBE+U).

D(E_F), states/eV/cell: 8.75
VASP energy, eV/atom: -4.970

The structure in CIF format:
```
data_CsCrTcO2
_chemical_formula_sum 'Cs1 Cr1 Tc1 O2'
_space_group_name_H-M_alt 'P 4/m m m'
_space_group_IT_number 123
_space_group_name_Hall '-P 4 2'
_cell_length_a 3.838
_cell_length_b 3.838
_cell_length_c 6.740
_cell_angle_alpha 90.00
_cell_angle_beta 90.00
_cell_angle_gamma 90.00
loop_
_atom_site_label
_atom_site_fract_x
_atom_site_fract_y
_atom_site_fract_z
Cs1 0.000 0.000 0.000
Cr1 0.000 0.000 0.500
Tc1 0.500 0.500 0.000
O1 0.000 0.500 0.500
```